1.
# CoH12Cl2O6 | Alexandria via LeMat-Bulk | SCAN | PBEsol geometry
data_CoH12Cl2O6
_cell_length_a 10.239
_cell_length_b 6.637
_cell_length_c 6.473
_cell_angle_alpha 90.00
_cell_angle_beta 123.80
_cell_angle_gamma 90.00
_space_group_name_H-M_alt 'C 1 2/m 1'
_space_group_IT_number 12
loop_
_space_group_symop_operation_xyz
'x,y,z'
'-x,-y,-z'
'-x,y,-z'
'x,-y,z'
'x+1/2,y+1/2,z'
'-x+1/2,-y+1/2,-z'
'-x+1/2,y+1/2,-z'
'x+1/2,-y+1/2,z'
loop_
_atom_site_label
_atom_site_type_symbol
_atom_site_fract_x
_atom_site_fract_y
_atom_site_fract_z
Co1 Co 0.000 0.000 0.000
H1 H 0.057 0.271 0.787
H2 H 0.116 0.309 0.272
H3 H 0.177 0.000 0.534
H4 H 0.238 0.500 0.166
Cl1 Cl 0.216 0.500 0.838
O1 O 0.039 0.198 0.247
O2 O 0.219 0.500 0.304
# Uncorrected energy, eV per atom: -6.37

---

2.
# CoHSCl2 | Alexandria via LeMat-Bulk | SCAN | PBEsol geometry
data_CoHSCl2
_cell_length_a 4.684
_cell_length_b 4.684
_cell_length_c 4.094
_cell_angle_alpha 90.00
_cell_angle_beta 90.00
_cell_angle_gamma 90.00
_space_group_name_H-M_alt 'P 4/m m m'
_space_group_IT_number 123
_space_group_name_Hall '-P 4 2'
loop_
_atom_site_label
_atom_site_type_symbol
_atom_site_fract_x
_atom_site_fract_y
_atom_site_fract_z
Co1 Co 0.000 0.000 0.000
H1 H 0.500 0.500 0.500
S1 S 0.000 0.000 0.500
Cl1 Cl 0.000 0.500 0.000
# Uncorrected energy, eV per atom: -8.86

---

3.
# HfCo3Cl | Alexandria via LeMat-Bulk | SCAN | PBEsol geometry
data_HfCo3Cl
_cell_length_a 4.587
_cell_length_b 4.587
_cell_length_c 4.587
_cell_angle_alpha 90.00
_cell_angle_beta 90.00
_cell_angle_gamma 90.00
_space_group_name_H-M_alt 'P m -3 m'
_space_group_IT_number 221
_space_group_name_Hall '-P 4 2 3'
loop_
_atom_site_label
_atom_site_type_symbol
_atom_site_fract_x
_atom_site_fract_y
_atom_site_fract_z
Hf1 Hf 0.000 0.000 0.000
Co1 Co 0.000 0.000 0.500
Cl1 Cl 0.500 0.500 0.500
# Raw formation energy, eV per formula unit: 7.1

---

4.
# HfCoOs2Cl | Alexandria via LeMat-Bulk | SCAN | PBEsol geometry
data_HfCoOs2Cl
_cell_length_a 4.273
_cell_length_b 4.273
_cell_length_c 4.515
_cell_angle_alpha 90.00
_cell_angle_beta 90.00
_cell_angle_gamma 90.00
_space_group_name_H-M_alt 'P 4/m m m'
_space_group_IT_number 123
_space_group_name_Hall '-P 4 2'
loop_
_atom_site_label
_atom_site_type_symbol
_atom_site_fract_x
_atom_site_fract_y
_atom_site_fract_z
Hf1 Hf 0.000 0.000 0.000
Co1 Co 0.500 0.500 0.000
Os1 Os 0.000 0.500 0.500
Cl1 Cl 0.000 0.000 0.500
# Raw formation energy, eV per formula unit: 6.8

---

5.
# HfCoSi2Cl | Alexandria via LeMat-Bulk | SCAN | PBEsol geometry
data_HfCoSi2Cl
_cell_length_a 4.258
_cell_length_b 4.258
_cell_length_c 4.682
_cell_angle_alpha 90.00
_cell_angle_beta 90.00
_cell_angle_gamma 90.00
_space_group_name_H-M_alt 'P 4/m m m'
_space_group_IT_number 123
_space_group_name_Hall '-P 4 2'
loop_
_atom_site_label
_atom_site_type_symbol
_atom_site_fract_x
_atom_site_fract_y
_atom_site_fract_z
Hf1 Hf 0.000 0.000 0.000
Co1 Co 0.500 0.500 0.500
Si1 Si 0.000 0.500 0.500
Cl1 Cl 0.500 0.500 0.000
# Raw formation energy, eV per formula unit: 2.6

---

6.
# CoHgCl2 | Alexandria via LeMat-Bulk | SCAN | PBEsol geometry
data_CoHgCl2
_cell_length_a 3.3382
_cell_length_b 3.3382
_cell_length_c 26.6217
_cell_angle_alpha 90.00
_cell_angle_beta 90.00
_cell_angle_gamma 120.00
_space_group_name_H-M_alt 'R -3 m'
_space_group_IT_number 166
_space_group_name_Hall '-R 3 2"'
loop_
_atom_site_label
_atom_site_type_symbol
_atom_site_fract_x
_atom_site_fract_y
_atom_site_fract_z
Co1 Co 0.0000 0.0000 0.0000
Hg1 Hg 0.0000 0.0000 0.5000
Cl1 Cl 0.0000 0.0000 0.2814
# Energy relative to the lowest polymorph listed for this composition, eV per atom: 0.000
# Raw formation energy, eV per formula unit: -2.1

---

7.
# Co2HgCl | Alexandria via LeMat-Bulk | SCAN | PBEsol geometry
data_Co2HgCl
_cell_length_a 4.468
_cell_length_b 4.468
_cell_length_c 2.963
_cell_angle_alpha 90.00
_cell_angle_beta 90.00
_cell_angle_gamma 90.00
_space_group_name_H-M_alt 'P 4/m m m'
_space_group_IT_number 123
_space_group_name_Hall '-P 4 2'
loop_
_atom_site_label
_atom_site_type_symbol
_atom_site_fract_x
_atom_site_fract_y
_atom_site_fract_z
Co1 Co 0.000 0.500 0.000
Hg1 Hg 0.000 0.000 0.500
Cl1 Cl 0.500 0.500 0.500
# Energy relative to the lowest polymorph listed for this composition, eV per atom: 0.282
# Raw formation energy, eV per formula unit: 1.5

---

8.
# CoHg2Cl2 | Alexandria via LeMat-Bulk | SCAN | PBEsol geometry
data_CoHg2Cl2
_cell_length_a 4.394
_cell_length_b 4.394
_cell_length_c 11.996
_cell_angle_alpha 90.00
_cell_angle_beta 90.00
_cell_angle_gamma 90.00
_space_group_name_H-M_alt 'I 4/m m m'
_space_group_IT_number 139
_space_group_name_Hall '-I 4 2'
loop_
_atom_site_label
_atom_site_type_symbol
_atom_site_fract_x
_atom_site_fract_y
_atom_site_fract_z
Co1 Co 0.000 0.000 0.000
Hg1 Hg 0.000 0.000 0.391
Cl1 Cl 0.000 0.500 0.250
# Raw formation energy, eV per formula unit: 1.8

---

| no. | total moment (μB per cell) | D(E_F) (states/eV per atom) |
| --- | --- | --- |
| 1 | 2.00 | 0.00 |
| 2 | 0.28 | 0.75 |
| 3 | 3.09 | 0.41 |
| 4 | 2.13 | 0.64 |
| 5 | 0.01 | 0.90 |
| 6 | 3.14 | 1.09 |
| 7 | 3.94 | 0.29 |
| 8 | 5.42 | 0.23 |